Entry 1:
Density functional theory data (PBE) for crystalline PaInS4 at its relaxed geometry.

Relative energy among the computed polymorphs = 8 meV/atom

Cell and atoms, written as POSCAR:
```
PaInS4
1.0
6.5880 0.0000 0.0000
0.0000 6.4023 0.0000
-0.6717 0.0000 6.5314
Pa In S
2 2 8
Direct
0.0000 0.0000 0.0000
0.0000 0.5000 0.5000
0.5000 0.0000 0.5000
0.5000 0.5000 0.0000
0.1926 0.1984 0.3299
0.1926 0.3016 0.8299
0.2836 0.7141 0.2581
0.2836 0.7859 0.7581
0.7164 0.2141 0.2419
0.7164 0.2859 0.7419
0.8074 0.6984 0.1701
0.8074 0.8016 0.6701
```


Entry 2:
Density functional theory data (PBE) for crystalline Pa3In2S8 at its relaxed geometry.

Cell and atoms, written as POSCAR:
```
Pa3In2S8
1.0
9.1170 0.0000 0.0000
0.0000 4.1369 0.0000
-4.5023 0.0000 10.3569
Pa In S
3 2 8
Direct
0.0000 0.0000 0.0000
0.0823 0.5000 0.3455
0.9177 0.5000 0.6545
0.4229 0.0000 0.6857
0.5771 0.0000 0.3143
0.1026 0.0000 0.8116
0.1807 0.5000 0.1351
0.1828 0.5000 0.6053
0.2870 0.0000 0.4097
0.7130 0.0000 0.5903
0.8172 0.5000 0.3947
0.8193 0.5000 0.8649
0.8974 0.0000 0.1884
```


Short version: raw formation energy = -0.999, -1.282 eV per atom, in the order given.
Short version: total DFT energy (no corrections) = -5.790, -6.434 eV/atom, in the order given.